Entry from the Alexandria database: crystalline NaCaFe2Si4O12 at its relaxed geometry (GGA+U).

POSCAR file:
```
NaCaFe2Si4O12
1.0
5.338 0.000 0.000
0.005 8.972 0.000
2.505 0.010 9.399
Na Ca Fe Si O
2 2 4 8 24
direct
0.000 0.000 0.000
0.500 0.488 0.501
0.000 0.896 0.500
0.499 0.401 0.000
0.500 0.106 0.500
0.500 0.800 0.000
0.999 0.294 0.500
0.999 0.607 0.001
0.196 0.284 0.786
0.197 0.609 0.290
0.309 0.104 0.211
0.311 0.793 0.709
0.688 0.794 0.291
0.691 0.104 0.789
0.802 0.608 0.711
0.804 0.284 0.214
0.090 0.694 0.653
0.099 0.210 0.154
0.201 0.447 0.356
0.204 0.444 0.859
0.234 0.789 0.883
0.235 0.106 0.386
0.286 0.268 0.613
0.291 0.619 0.116
0.298 0.943 0.140
0.299 0.953 0.631
0.396 0.719 0.356
0.403 0.183 0.854
0.597 0.183 0.147
0.603 0.719 0.645
0.701 0.954 0.369
0.702 0.943 0.860
0.707 0.619 0.885
0.714 0.268 0.388
0.764 0.107 0.614
0.765 0.790 0.118
0.795 0.444 0.141
0.799 0.446 0.645
0.901 0.210 0.847
0.909 0.694 0.348
```

Properties
The calculated density is 3.5 Mg/m³. Its total energy is -0.529 Ry/atom. For the energy above the lowest structure with this stoichiometry, the calculation gives 18 meV per atom.